1.
## Hf2ScBi (PBE)

Data for an optimized crystal structure of Hf2ScBi.

DOS at the Fermi energy (states/eV/cell): 15.77
Formation enthalpy at 0 K (eV/atom): 0.370

Cell lengths 8.324, 8.324, 5.908 Å; angles 90.00, 90.00, 90.00 degrees
Space group I-42d (No. 122)
Unique sites:
Hf 0.232 0.250 0.125 (multiplicity 8)
Sc 0.000 0.000 0.500 (multiplicity 4)
Bi 0.000 0.000 0.000 (multiplicity 4)

2.
## Dy3Tl4SnTe8 (PBE)

Data for an optimized crystal structure of Dy3Tl4SnTe8.

DOS at the Fermi energy (states/eV/cell): 17.38
Formation energy from raw total energies (eV per atom): -0.846

Cell lengths 8.9696, 8.9696, 24.0633 Å; angles 90.00, 90.00, 120.00 degrees
Space group R-3m (No. 166, hexagonal axes)
Unique sites:
Dy 0.0000 0.5000 0.0000 (multiplicity 9)
Tl 0.0000 0.0000 0.5000 (multiplicity 3)
Tl 0.0000 0.5000 0.5000 (multiplicity 9)
Sn 0.0000 0.0000 0.0000 (multiplicity 3)
Te 0.0000 0.0000 0.2616 (multiplicity 6)
Te 0.0038 0.5019 0.2620 (multiplicity 18)

3.
## SrCu2Hg (PBE)

Data for an optimized crystal structure of SrCu2Hg.

DOS at the Fermi energy (states/eV/cell): 4.28
Excess energy over the best structure of this formula in the dataset (meV/atom): 225
Formation enthalpy at 0 K (eV/atom): 0.086

Cell lengths 7.072, 7.072, 7.072 Å; angles 90.00, 90.00, 90.00 degrees
Space group F-43m (No. 216)
Unique sites:
Sr 0.000 0.000 0.000 (multiplicity 4)
Cu 0.000 0.000 0.500 (multiplicity 4)
Cu 0.250 0.250 0.250 (multiplicity 4)
Hg 0.250 0.250 0.750 (multiplicity 4)

4.
## Sr5SmBi5 (PBE)

Data for an optimized crystal structure of Sr5SmBi5.

DOS at the Fermi energy (states/eV/cell): 18.48
Formation enthalpy at 0 K (eV/atom): -0.728

Cell lengths 15.724, 6.683, 9.359 Å; angles 90.00, 107.79, 90.00 degrees
Space group C2/m (No. 12)
Unique sites:
Sr 0.000 0.000 0.000 (multiplicity 2)
Sr 0.177 0.500 0.352 (multiplicity 4)
Sr 0.184 0.500 0.824 (multiplicity 4)
Sm 0.000 0.000 0.500 (multiplicity 2)
Bi 0.000 0.500 0.500 (multiplicity 2)
Bi 0.150 0.000 0.332 (multiplicity 4)
Bi 0.159 0.000 0.825 (multiplicity 4)

5.
## Tl3CdSe2O6 (PBE)

Data for an optimized crystal structure of Tl3CdSe2O6.

DOS at the Fermi energy (states/eV/cell): 4.82
Formation energy from raw total energies (eV per atom): -0.726

Cell lengths 6.2305, 6.2305, 7.4557 Å; angles 90.00, 90.00, 120.00 degrees
Space group P-3m1 (No. 164)
Unique sites:
Tl 0.0000 0.0000 0.0000 (multiplicity 1)
Tl 0.3333 0.6667 0.6452 (multiplicity 2)
Cd 0.0000 0.0000 0.5000 (multiplicity 1)
Se 0.3333 0.6667 0.1838 (multiplicity 2)
O 0.1869 0.3739 0.2816 (multiplicity 6)

6.
## Pm4TmTh3 (PBE)

Data for an optimized crystal structure of Pm4TmTh3.

DOS at the Fermi energy (states/eV/cell): 22.70
Formation enthalpy at 0 K (eV/atom): 0.031

Cell lengths 5.073, 10.163, 10.256 Å; angles 90.00, 90.00, 90.00 degrees
Space group Pmmn (No. 59, origin choice 2)
Unique sites:
Pm 0.250 0.000 0.133 (multiplicity 4)
Pm 0.250 0.250 0.864 (multiplicity 2)
Pm 0.250 0.750 0.869 (multiplicity 2)
Tm 0.250 0.250 0.381 (multiplicity 2)
Th 0.250 0.002 0.619 (multiplicity 4)
Th 0.250 0.750 0.381 (multiplicity 2)

Number 1: total energy -7.16 eV/atom. Number 2: total energy -4.12 eV/atom. Number 3: total energy -2.46 eV/atom. Number 4: total energy -3.69 eV/atom. Number 5: total energy -4.45 eV/atom. Number 6: total energy -5.69 eV/atom.